The following is a PBE calculation of crystalline Ba2TcAgSe6 at its relaxed geometry, from OQMD.

Cell: 7.4544 7.4544 16.7173 Å, 90.00 90.00 120.00°
With the nearest neighbours (Å) after each atom.
Space group R3 (No. 146, hexagonal axes)
Symmetry-distinct sites (fractional):
Ba 0.0000 0.0000 0.0000 [3 per cell]  9 Se 3.38-3.74, 1 Ag 3.49
Ba 0.0000 0.0000 0.4920 [3 per cell]  9 Se 3.29-3.57
Tc 0.0000 0.0000 0.7160 [3 per cell]  3 Se 2.39
Ag 0.0000 0.0000 0.2087 [3 per cell]  6 Se 2.64-2.93
Se 0.0028 0.4550 0.9935 [9 per cell]  1 Tc 2.39
Se 0.0530 0.5871 0.4976 [9 per cell]  1 Ag 2.64, 1 Tc 2.68

Uncorrected energy: -137.2 eV for the cell shown
Spin magnetization: 0.0006 μB/atom

---

The following is a PBE calculation of crystalline LuGeAsO at its relaxed geometry, from OQMD.

Cell: 5.5809 5.5809 4.7864 Å, 90.00 90.00 90.00°
With the nearest neighbours (Å) after each atom.
Space group P4/nmm (No. 129, origin choice 2)
Symmetry-distinct sites (fractional):
Lu 0.2500 0.7500 0.0000 [2 per cell]  2 O 2.39
Ge 0.2500 0.2500 0.4915 [2 per cell]  2 As 2.39-2.40
As 0.2500 0.2500 0.9909 [2 per cell]  2 Ge 2.39-2.40
O 0.2500 0.7500 0.5000 [2 per cell]  2 Lu 2.39

Uncorrected energy: -45.2 eV for the cell shown
E above lowest polymorph: 203 kJ/mol of formula units
Spin magnetization: 0.0004 μB/atom

---

The following is a PBE calculation of crystalline Pr2Al at its relaxed geometry, from OQMD.

Cell: 6.7894 5.2928 9.9716 Å, 90.00 90.00 90.00°
With the nearest neighbours (Å) after each atom.
Space group Pnma (No. 62)
Symmetry-distinct sites (fractional):
Pr 0.0236 0.2500 0.2014 [4 per cell]  3 Al 3.23-3.26, 5 Pr 3.51-3.60
Pr 0.1882 0.2500 0.5784 [4 per cell]  5 Al 3.20-3.53, 2 Pr 3.51
Al 0.2071 0.2500 0.8988 [4 per cell]  8 Pr 3.20-3.53

Uncorrected energy: -56.0 eV for the cell shown
Spin magnetization: 0.0006 μB/atom

---

The following is a PBE calculation of crystalline Cu2Ag3 at its relaxed geometry, from OQMD.

Cell: 19.2359 2.8619 5.7304 Å, 90.00 98.80 90.00°
With the nearest neighbours (Å) after each atom.
Space group Cm (No. 8)
Symmetry-distinct sites (fractional):
Cu 0.0000 0.0000 0.0000 [2 per cell]  6 Cu 2.68-2.86, 6 Ag 2.69-2.87
Cu 0.0939 0.5000 0.8030 [2 per cell]  4 Cu 2.68-2.86, 8 Ag 2.75-2.96
Cu 0.3043 0.5000 0.9127 [2 per cell]  4 Cu 2.68-2.86, 8 Ag 2.69-3.00
Cu 0.4029 0.0000 0.1867 [2 per cell]  5 Ag 2.63-2.75, 6 Cu 2.68-2.86
Ag 0.0967 0.5000 0.2872 [2 per cell]  4 Cu 2.70-2.96, 8 Ag 2.81-2.88
Ag 0.2003 0.0000 0.0858 [2 per cell]  8 Ag 2.75-2.98, 4 Cu 2.76-2.80
Ag 0.2009 0.0000 0.6062 [2 per cell]  8 Ag 2.75-2.98, 4 Cu 2.83-2.88
Ag 0.3064 0.5000 0.3908 [2 per cell]  4 Cu 2.73-3.00, 8 Ag 2.82-2.91
Ag 0.4004 0.0000 0.7260 [2 per cell]  5 Cu 2.63-2.69, 6 Ag 2.82-2.86
Ag 0.4972 0.5000 0.4989 [2 per cell]  6 Cu 2.75-2.87, 6 Ag 2.81-2.86

Uncorrected energy: -61.8 eV for the cell shown
E above lowest polymorph: 28 kJ/mol of formula units
ΔH_f (0 K): 0.5 eV per formula unit

---

The following is a PBE calculation of crystalline PuFeTc at its relaxed geometry, from OQMD.

Cell: 5.9083 5.9083 5.9083 Å, 90.00 90.00 90.00°
With the nearest neighbours (Å) after each atom.
Space group F-43m (No. 216)
Symmetry-distinct sites (fractional):
Pu 0.0000 0.0000 0.0000 [4 per cell]  4 Fe 2.56, 4 Tc 2.56
Fe 0.2500 0.2500 0.2500 [4 per cell]  4 Pu 2.56
Tc 0.2500 0.2500 0.7500 [4 per cell]  4 Pu 2.56

Uncorrected energy: -119.5 eV for the cell shown
E above lowest polymorph: 71 kJ/mol of formula units
ΔH_f (0 K): 2.9 eV per formula unit
Spin magnetization: 0.0219 μB/atom

---

The following is a PBE calculation of crystalline HoUSb at its relaxed geometry, from OQMD.

Cell: 7.2456 7.2456 7.2456 Å, 90.00 90.00 90.00°
With the nearest neighbours (Å) after each atom.
Space group F-43m (No. 216)
Symmetry-distinct sites (fractional):
Ho 0.0000 0.0000 0.0000 [4 per cell]  4 Sb 3.14, 4 U 3.14
U 0.2500 0.2500 0.2500 [4 per cell]  4 Ho 3.14
Sb 0.2500 0.2500 0.7500 [4 per cell]  4 Ho 3.14

Uncorrected energy: -72.8 eV for the cell shown
Spin magnetization: 1.7926 μB/atom